[1]
Material: PrTlO3
Method: DFT, PBE
State: relaxed

Output
electronic total energy = -6.271 eV per atom
volume = 73 Å³/f.u.
formation energy (no corrections) = -9.33 eV/f.u.
total moment = 0.00 μB/f.u.

abc: 3.4875 5.7388 7.2800
angles: 90.00 90.00 90.00
Sites, in units of the cell vectors:
O 0.7500 0.5189 0.6657
O 0.2500 0.2500 0.9368
Pr 0.2500 0.7500 0.8536
Tl 0.2500 0.2500 0.6057
O 0.7500 0.9811 0.6657
Tl 0.7500 0.7500 0.3943
O 0.2500 0.0189 0.3343
Pr 0.7500 0.2500 0.1464
O 0.7500 0.7500 0.0632
O 0.2500 0.4811 0.3343

[2]
Material: BePtW
Method: DFT, PBE
State: relaxed

Output
electronic total energy = -5.556 eV per atom
ΔE to the lowest computed polymorph = 2.357 eV/atom
volume = 65 Å³/f.u.
DOS at the Fermi energy = 1.963 states/eV per atom
calculated formation energy = 2.02 eV per atom
total moment = 0.00 μB/f.u.

abc: 3.9095 3.9095 9.7526
angles: 90.00 90.00 120.00
Sites, in units of the cell vectors:
W 0.0000 0.0000 0.2500
Be 0.6667 0.3333 0.7500
W 0.0000 0.0000 0.7500
Pt 0.0000 0.0000 0.5000
Pt 0.0000 0.0000 0.0000
Be 0.3333 0.6667 0.2500

[3]
Material: TbPr4Sb5
Method: DFT, PBE
State: relaxed

Output
electronic total energy = -5.614 eV per atom
volume = 328 Å³/f.u.
DOS at the Fermi energy = 0.121 states/eV per atom
formation energy (no corrections) = -11.78 eV/f.u.
total moment = 0.00 μB/f.u.

abc: 4.5299 4.5299 16.3127
angles: 97.98 97.98 90.00
Sites, in units of the cell vectors:
Pr 0.4006 0.4006 0.8013
Sb 0.9020 0.9020 0.8039
Sb 0.0980 0.0980 0.1961
Sb 0.7000 0.7000 0.3999
Pr 0.5994 0.5994 0.1987
Sb 0.3000 0.3000 0.6001
Sb 0.5000 0.5000 0.0000
Pr 0.1992 0.1992 0.3985
Tb 0.0000 0.0000 0.0000
Pr 0.8008 0.8008 0.6015

[4]
Material: LaHoAl2Si
Method: DFT, PBE
State: relaxed

Output
electronic total energy = -4.961 eV per atom
volume = 119 Å³/f.u.
DOS at the Fermi energy = 0.389 states/eV per atom
formation energy (no corrections) = -2.39 eV/f.u.
total moment = 0.00 μB/f.u.

abc: 4.3883 4.4428 6.8346
angles: 108.97 108.73 90.00
Sites, in units of the cell vectors:
Al 0.0454 0.0454 0.0908
Ho 0.1976 0.6976 0.3952
Al 0.6888 0.1888 0.3776
La 0.4392 0.4392 0.8784
Si 0.8412 0.8412 0.6824

[5]
Material: AcErF
Method: DFT, PBE
State: relaxed

Output
electronic total energy = -5.082 eV per atom
volume = 87 Å³/f.u.
DOS at the Fermi energy = 1.033 states/eV per atom
formation energy (no corrections) = -4.70 eV/f.u.
total moment = 0.01 μB/f.u.

abc: 3.9937 3.9937 12.8334
angles: 81.05 81.05 60.00
Sites, in units of the cell vectors:
Ac 0.6138 0.6138 0.1586
Ac 0.3862 0.3862 0.8414
Er 0.1320 0.1320 0.6040
F 0.6850 0.6850 0.9451
F 0.3150 0.3150 0.0549
Er 0.8680 0.8680 0.3960

[6]
Material: Sm2DyTl4
Method: DFT, PBE
State: relaxed

Output
electronic total energy = -3.205 eV per atom
ΔE to the lowest computed polymorph = 0.384 eV/atom
volume = 263 Å³/f.u.
DOS at the Fermi energy = 1.412 states/eV per atom
calculated formation energy = 0.15 eV per atom
total moment = 0.00 μB/f.u.

abc: 5.7881 5.7881 8.8630
angles: 109.06 109.06 90.00
Sites, in units of the cell vectors:
Tl 0.5000 0.0000 0.0000
Tl 0.1955 0.1955 0.3911
Sm 0.6017 0.6017 0.2033
Sm 0.3983 0.3983 0.7967
Tl 0.8045 0.8045 0.6089
Tl 0.0000 0.5000 0.0000
Dy 0.0000 0.0000 0.0000

[7]
Material: Sr3MgGeN4
Method: DFT, PBE
State: relaxed

Output
electronic total energy = -5.627 eV per atom
volume = 151 Å³/f.u.
formation energy (no corrections) = -6.08 eV/f.u.
total moment = 0.00 μB/f.u.

abc: 5.9885 9.7016 10.4261
angles: 90.00 90.00 90.00
Sites, in units of the cell vectors:
Sr 0.6119 0.4085 0.6525
N 0.8847 0.8708 0.6358
Mg 0.3428 0.2500 0.2500
Sr 0.2500 0.9091 0.5000
Sr 0.8881 0.0915 0.1525
Sr 0.1119 0.9085 0.8475
Mg 0.6572 0.7500 0.7500
N 0.9854 0.8371 0.0844
Ge 0.7500 0.7672 0.5000
Sr 0.7500 0.4091 0.0000
N 0.3847 0.1292 0.6358
N 0.4854 0.1629 0.0844
N 0.9854 0.6629 0.4156
Sr 0.3881 0.9085 0.1525
Ge 0.2500 0.2328 0.5000
N 0.6153 0.8708 0.3642
Mg 0.1572 0.2500 0.7500
N 0.5146 0.8371 0.9156
N 0.1153 0.3708 0.1358
Sr 0.8881 0.4085 0.3475
Sr 0.3881 0.5915 0.3475
Sr 0.2500 0.5909 0.0000
Mg 0.8428 0.7500 0.2500
N 0.0146 0.1629 0.9156
Ge 0.2500 0.2672 0.0000
N 0.8847 0.6292 0.8642
N 0.4854 0.3371 0.4156
N 0.1153 0.1292 0.3642
N 0.5146 0.6629 0.5844
Ge 0.7500 0.7328 0.0000
N 0.6153 0.6292 0.1358
Sr 0.6119 0.0915 0.8475
N 0.0146 0.3371 0.5844
Sr 0.1119 0.5915 0.6525
Sr 0.7500 0.0909 0.5000
N 0.3847 0.3708 0.8642

[8]
Material: SrNd2Er
Method: DFT, PBE
State: relaxed

Output
electronic total energy = -3.734 eV per atom
ΔE to the lowest computed polymorph = 0.113 eV/atom
volume = 149 Å³/f.u.
DOS at the Fermi energy = 1.513 states/eV per atom
calculated formation energy = 0.21 eV per atom
total moment = 0.00 μB/f.u.

abc: 5.9496 5.9496 5.9496
angles: 60.00 60.00 60.00
Sites, in units of the cell vectors:
Nd 0.7500 0.7500 0.7500
Nd 0.2500 0.2500 0.2500
Er 0.0000 0.0000 0.0000
Sr 0.5000 0.5000 0.5000